Below is a relaxed Pm2ErS4 crystal, with properties calculated at the GGA-PBE level.

a = 7.919 Å, b = 7.910 Å, c = 7.910 Å
α = 61.12°, β = 59.97°, γ = 59.97°
Fractional coordinates of all 14 atoms:
Pm1 0.000 0.000 0.000
Pm2 0.000 0.000 0.500
Pm3 0.000 0.500 0.500
Pm4 0.500 0.000 0.500
Er1 0.500 0.500 0.000
Er2 0.000 0.500 0.000
S1 0.255 0.254 0.236
S2 0.745 0.264 0.246
S3 0.255 0.736 0.754
S4 0.745 0.746 0.764
S5 0.758 0.745 0.245
S6 0.749 0.255 0.755
S7 0.251 0.745 0.245
S8 0.242 0.255 0.755

Values from the calculation:
Symmetry = No. 74
Total DFT energy (no corrections) = -6.39 eV/atom
Offset from the most stable computed form = 0 meV per atom
Magnetization = 0.000 μB per atom